A plane-wave DFT calculation with PBE was carried out for a geometry-optimized BeHg2Au structure.

Cell lengths 3.3600, 3.3600, 8.8347 Å; angles 90.00, 90.00, 127.60 degrees
Last column: nearest neighbours and their distance in Å.
Atoms (fractional coordinates):
Be 0.0000 0.0000 0.0000  4 Hg 2.46
Hg 0.5000 0.5000 0.2222  2 Be 2.46
Hg 0.5000 0.5000 0.7778  2 Be 2.46
Au 0.0000 0.0000 0.5000  4 Hg 2.87, 2 Au 2.97

Output
V: 79 Å³/f.u.
Calculated total energy: -6.280 eV/cell
Space-group type: Cmmm, No. 65